Here is a relaxed SrPaTl2Br8 crystal from Alexandria via LeMat-Bulk. Energies are from PBE-GGA.

Lattice parameters (Å, degrees): 7.2773 9.1822 7.6035 90.00 92.48 90.00
Closest atoms and distances in Å follow each position.
Positions (direct):
Sr (0.0000, 0.0000, 0.0000)  6 Br 3.01-3.16
Pa (0.0000, 0.5000, 0.0000)  6 Br 2.77-2.85
Tl (0.5000, 0.2437, 0.5000)  4 Br 3.15-3.45
Tl (0.5000, 0.7563, 0.5000)  4 Br 3.15-3.45
Br (0.2020, 0.5000, 0.3166)  1 Pa 2.77
Br (0.2246, 0.2722, 0.8715)  1 Pa 2.85, 1 Sr 3.16
Br (0.2246, 0.7278, 0.8715)  1 Pa 2.85, 1 Sr 3.16
Br (0.2478, 0.0000, 0.3266)  1 Sr 3.01, 2 Tl 3.15
Br (0.7522, 0.0000, 0.6734)  1 Sr 3.01, 2 Tl 3.15
Br (0.7754, 0.2722, 0.1285)  1 Pa 2.85, 1 Sr 3.16
Br (0.7754, 0.7278, 0.1285)  1 Pa 2.85, 1 Sr 3.16
Br (0.7980, 0.5000, 0.6834)  1 Pa 2.77

Results
**Fermi-level density of states**: 0.78 states/eV/f.u.
**Total DFT energy (no corrections)**: -3.86 eV per atom
**Formation energy (no corrections)**: -1.416 eV per atom
**Symmetry**: P2/m

Here is a relaxed Pm2GaCuAu6 crystal from Alexandria via LeMat-Bulk. Energies are from PBE-GGA.

Lattice parameters (Å, degrees): 5.4668 6.7083 7.0626 82.13 67.44 66.33
Closest atoms and distances in Å follow each position.
Positions (direct):
Pm (0.0181, 0.2457, 0.2154)  7 Au 3.13-3.26, 2 Cu 3.46
Pm (0.9819, 0.7543, 0.7846)  7 Au 3.13-3.26, 2 Cu 3.46
Ga (0.5000, 0.0000, 0.5000)  6 Au 2.62-2.64
Cu (0.5000, 0.5000, 0.0000)  6 Au 2.60-2.66
Au (0.0000, 0.2174, 0.7825)  1 Cu 2.62, 1 Ga 2.64, 2 Au 2.73
Au (0.0000, 0.7826, 0.2175)  1 Cu 2.62, 1 Ga 2.64, 2 Au 2.73
Au (0.3460, 0.4105, 0.3979)  1 Ga 2.62, 1 Cu 2.66, 1 Au 2.94
Au (0.4990, 0.7854, 0.2160)  1 Cu 2.60, 1 Ga 2.63, 2 Au 2.73
Au (0.5010, 0.2146, 0.7840)  1 Cu 2.60, 1 Ga 2.63, 2 Au 2.73
Au (0.6540, 0.5895, 0.6021)  1 Ga 2.62, 1 Cu 2.66, 1 Au 2.94

Results
**Fermi-level density of states**: 4.77 states/eV/f.u.
**Total DFT energy (no corrections)**: -4.05 eV per atom
**Symmetry**: P-1

Here is a relaxed ScTl3Cd crystal from Alexandria via LeMat-Bulk. Energies are from PBE-GGA.

Lattice parameters (Å, degrees): 5.7154 5.7154 5.7154 90.00 90.00 90.00
Closest atoms and distances in Å follow each position.
Positions (direct):
Sc (0.0000, 0.0000, 0.0000)  6 Tl 2.86
Tl (0.0000, 0.0000, 0.5000)  2 Sc 2.86
Tl (0.0000, 0.5000, 0.0000)  2 Sc 2.86
Tl (0.5000, 0.0000, 0.0000)  2 Sc 2.86
Cd (0.5000, 0.5000, 0.5000)  12 Tl 4.04

Results
**Fermi-level density of states**: 3.43 states/eV/f.u.
**Total DFT energy (no corrections)**: -2.47 eV per atom
**Symmetry**: Pm-3m

Here is a relaxed RbGe2S4 crystal from Alexandria via LeMat-Bulk. Energies are from PBE-GGA.

Lattice parameters (Å, degrees): 6.4487 6.4487 6.5700 108.67 108.67 96.87
Closest atoms and distances in Å follow each position.
Positions (direct):
Rb (0.0000, 0.0000, 0.0000)  6 S 3.41-3.51
Ge (0.2454, 0.7546, 0.5000)  4 S 2.60-2.67
Ge (0.7546, 0.2454, 0.5000)  4 S 2.60-2.67
S (0.1435, 0.1435, 0.5821)  1 S 2.15
S (0.4629, 0.4629, 0.3244)  1 S 2.08
S (0.5371, 0.5371, 0.6756)  1 S 2.08
S (0.8565, 0.8565, 0.4179)  1 S 2.15

Results
**Fermi-level density of states**: 2.72 states/eV/f.u.
**Total DFT energy (no corrections)**: -3.78 eV per atom
**Formation energy (no corrections)**: 0.035 eV per atom
**Symmetry**: C2/m

Here is a relaxed Sm2GaP crystal from Alexandria via LeMat-Bulk. Energies are from PBE-GGA.

Lattice parameters (Å, degrees): 11.9895 11.9895 4.1763 90.00 90.00 160.28
Closest atoms and distances in Å follow each position.
Positions (direct):
Sm (0.0710, 0.9290, 0.7500)  1 P 2.79, 4 Ga 3.05
Sm (0.3098, 0.6902, 0.7500)  5 P 2.85-2.93
Sm (0.6902, 0.3098, 0.2500)  5 P 2.85-2.93
Sm (0.9290, 0.0710, 0.2500)  1 P 2.79, 4 Ga 3.05
Ga (0.4652, 0.5348, 0.7500)  2 Ga 2.66
Ga (0.5348, 0.4652, 0.2500)  2 Ga 2.66
P (0.1893, 0.8107, 0.7500)  6 Sm 2.79-2.93
P (0.8107, 0.1893, 0.2500)  6 Sm 2.79-2.93

Results
**Fermi-level density of states**: 2.54 states/eV/f.u.
**Total DFT energy (no corrections)**: -5.56 eV per atom
**Symmetry**: Cmcm

Here is a relaxed KAcTeI crystal from Alexandria via LeMat-Bulk. Energies are from PBE-GGA.

Lattice parameters (Å, degrees): 5.8384 5.8384 5.8384 60.00 60.00 60.00
Closest atoms and distances in Å follow each position.
Positions (direct):
K (0.0000, 0.0000, 0.0000)  4 I 3.58, 4 Te 3.58
Ac (0.5000, 0.5000, 0.5000)  4 I 3.58, 4 Te 3.58
Te (0.2500, 0.2500, 0.2500)  4 Ac 3.58, 4 K 3.58
I (0.7500, 0.7500, 0.7500)  4 K 3.58, 4 Ac 3.58

Results
**Fermi-level density of states**: 2.71 states/eV/f.u.
**Total DFT energy (no corrections)**: -3.57 eV per atom
**Formation energy (no corrections)**: -1.099 eV per atom
**Symmetry**: F-43m